1.
# SiAg2Sb | the Alexandria database | PBE-GGA | relaxed
data_SiAg2Sb
_chemical_formula_sum 'Si2 Ag4 Sb2'
_cell_length_a 4.3244
_cell_length_b 4.3244
_cell_length_c 8.5587
_cell_angle_alpha 90.00
_cell_angle_beta 90.00
_cell_angle_gamma 90.00
_space_group_name_H-M_alt 'I 4/m m m'
_space_group_IT_number 139
_space_group_name_Hall '-I 4 2'
loop_
_atom_site_label
_atom_site_fract_x
_atom_site_fract_y
_atom_site_fract_z
Si1 0.0000 0.0000 0.0000
Ag1 0.0000 0.5000 0.2500
Sb1 0.0000 0.0000 0.5000
# * uncorrected energy: -3.5085 eV per atom
# * uncorrected formation energy: 0.3034 eV per atom
# * E above lowest polymorph: 59 meV/atom

2.
# PmAg2I4 | the Alexandria database | PBE-GGA | relaxed
data_PmAg2I4
_chemical_formula_sum 'Pm2 Ag4 I8'
_cell_length_a 8.4949
_cell_length_b 8.4949
_cell_length_c 7.9271
_cell_angle_alpha 90.00
_cell_angle_beta 90.00
_cell_angle_gamma 90.00
_space_group_name_H-M_alt 'I 4/m'
_space_group_IT_number 87
_space_group_name_Hall '-I 4'
loop_
_atom_site_label
_atom_site_fract_x
_atom_site_fract_y
_atom_site_fract_z
Pm1 0.0000 0.0000 0.0000
Ag1 0.0000 0.5000 0.2500
I1 0.1755 0.6768 0.0000
# * uncorrected energy: -2.8734 eV per atom
# * uncorrected formation energy: -0.4943 eV per atom

3.
# La6DyY5 | the Alexandria database | PBE-GGA | relaxed
data_La6DyY5
_chemical_formula_sum 'La12 Dy2 Y10'
_cell_length_a 5.9495
_cell_length_b 7.8774
_cell_length_c 17.8504
_cell_angle_alpha 90.00
_cell_angle_beta 90.00
_cell_angle_gamma 90.00
_space_group_name_H-M_alt 'I m m m'
_space_group_IT_number 71
_space_group_name_Hall '-I 2 2'
loop_
_atom_site_label
_atom_site_fract_x
_atom_site_fract_y
_atom_site_fract_z
La1 0.0000 0.2481 0.0000
La2 0.0000 0.2509 0.3339
Dy1 0.0000 0.5000 0.5000
Y1 0.0000 0.0000 0.1674
Y2 0.0000 0.0000 0.5000
Y3 0.0000 0.5000 0.1666
# * uncorrected energy: -5.4702 eV per atom
# * ΔH_f (0 K): 0.070 eV/atom

4.
# CaTeO3 | the Alexandria database | PBE-GGA | relaxed
data_CaTeO3
_chemical_formula_sum 'Ca6 Te6 O18'
_cell_length_a 8.7479
_cell_length_b 5.7473
_cell_length_c 11.4986
_cell_angle_alpha 90.00
_cell_angle_beta 110.53
_cell_angle_gamma 90.00
_space_group_name_H-M_alt 'P 1 21 1'
_space_group_IT_number 4
loop_
_space_group_symop_operation_xyz
'x,y,z'
'-x,y+1/2,-z'
loop_
_atom_site_label
_atom_site_fract_x
_atom_site_fract_y
_atom_site_fract_z
Ca1 0.0025 0.0000 0.1319
Ca2 0.0193 0.0717 0.6183
Ca3 0.3001 0.0177 0.9518
Te1 0.2528 0.5055 0.1719
Te2 0.3013 0.0961 0.4749
Te3 0.3233 0.5793 0.7543
O1 0.0798 0.6122 0.2198
O2 0.1493 0.2732 0.0519
O3 0.1513 0.7717 0.7616
O4 0.1708 0.8537 0.4978
O5 0.1781 0.3270 0.5187
O6 0.2097 0.7415 0.0492
O7 0.2329 0.3073 0.7991
O8 0.2359 0.1290 0.3016
O9 0.4699 0.6918 0.9089
# * uncorrected energy: -5.9812 eV per atom
# * uncorrected formation energy: -1.9776 eV per atom

5.
# Tl2BiIrO6 | the Alexandria database | PBE-GGA | relaxed
data_Tl2BiIrO6
_chemical_formula_sum 'Tl12 Bi6 Ir6 O36'
_cell_length_a 6.4102
_cell_length_b 6.4102
_cell_length_c 29.0283
_cell_angle_alpha 90.00
_cell_angle_beta 90.00
_cell_angle_gamma 120.00
_space_group_name_H-M_alt 'R -3 m'
_space_group_IT_number 166
_space_group_name_Hall '-R 3 2"'
loop_
_atom_site_label
_atom_site_fract_x
_atom_site_fract_y
_atom_site_fract_z
Tl1 0.0000 0.0000 0.1216
Tl2 0.0000 0.0000 0.2597
Bi1 0.0000 0.0000 0.3959
Ir1 0.0000 0.0000 0.0000
Ir2 0.0000 0.0000 0.5000
O1 0.0587 0.5293 0.7069
O2 0.0595 0.5298 0.1248
# * uncorrected energy: -5.4243 eV per atom
# * uncorrected formation energy: -0.7020 eV per atom

6.
# MoSeI | the Alexandria database | PBE-GGA | relaxed
data_MoSeI
_chemical_formula_sum 'Mo2 Se2 I2'
_cell_length_a 3.3800
_cell_length_b 6.1106
_cell_length_c 7.8324
_cell_angle_alpha 90.00
_cell_angle_beta 90.00
_cell_angle_gamma 90.00
_space_group_name_H-M_alt 'P m m 2'
_space_group_IT_number 25
loop_
_space_group_symop_operation_xyz
'x,y,z'
'-x,-y,z'
'-x,y,z'
'x,-y,z'
loop_
_atom_site_label
_atom_site_fract_x
_atom_site_fract_y
_atom_site_fract_z
Mo1 0.0000 0.2242 0.0000
Se1 0.5000 0.0000 0.1826
Se2 0.5000 0.5000 0.8508
I1 0.0000 0.0000 0.6941
I2 0.0000 0.5000 0.2810
# * uncorrected energy: -5.4656 eV per atom
# * uncorrected formation energy: -0.1770 eV per atom

7.
# Dy6Tl3Ru | the Alexandria database | PBE-GGA | relaxed
data_Dy6Tl3Ru
_chemical_formula_sum 'Dy12 Tl6 Ru2'
_cell_length_a 9.0113
_cell_length_b 11.6749
_cell_length_c 5.2247
_cell_angle_alpha 90.00
_cell_angle_beta 90.00
_cell_angle_gamma 90.00
_space_group_name_H-M_alt 'P n n m'
_space_group_IT_number 58
loop_
_space_group_symop_operation_xyz
'x,y,z'
'-x,-y,-z'
'-x,-y,z'
'x,y,-z'
'x+1/2,-y+1/2,-z+1/2'
'-x+1/2,y+1/2,z+1/2'
'-x+1/2,y+1/2,-z+1/2'
'x+1/2,-y+1/2,z+1/2'
loop_
_atom_site_label
_atom_site_fract_x
_atom_site_fract_y
_atom_site_fract_z
Dy1 0.0098 0.2363 0.0000
Dy2 0.1531 0.0830 0.5000
Dy3 0.1918 0.4197 0.5000
Tl1 0.0000 0.5000 0.0000
Tl2 0.1562 0.7368 0.5000
Ru1 0.0000 0.0000 0.0000
# * uncorrected energy: -4.6802 eV per atom
# * E above lowest polymorph: 12 meV/atom
# * ΔH_f (0 K): -0.281 eV/atom

8.
# Y2TcBi2 | the Alexandria database | PBE-GGA | relaxed
data_Y2TcBi2
_chemical_formula_sum 'Y4 Tc2 Bi4'
_cell_length_a 7.3841
_cell_length_b 7.3841
_cell_length_c 4.6971
_cell_angle_alpha 90.00
_cell_angle_beta 90.00
_cell_angle_gamma 90.00
_space_group_name_H-M_alt 'P 4/m b m'
_space_group_IT_number 127
_space_group_name_Hall '-P 4 2ab'
loop_
_atom_site_label
_atom_site_fract_x
_atom_site_fract_y
_atom_site_fract_z
Y1 0.1676 0.3324 0.0000
Tc1 0.0000 0.0000 0.5000
Bi1 0.1491 0.6491 0.5000
# * uncorrected energy: -6.4153 eV per atom
# * E above lowest polymorph: 0 meV/atom
# * ΔH_f (0 K): -0.204 eV/atom

9.
# NdGeSb | the Alexandria database | PBE-GGA | relaxed
data_NdGeSb
_chemical_formula_sum 'Nd4 Ge4 Sb4'
_cell_length_a 4.4183
_cell_length_b 17.0395
_cell_length_c 4.1449
_cell_angle_alpha 90.00
_cell_angle_beta 90.00
_cell_angle_gamma 90.00
_space_group_name_H-M_alt 'C m c m'
_space_group_IT_number 63
_space_group_name_Hall '-C 2c 2'
loop_
_atom_site_label
_atom_site_fract_x
_atom_site_fract_y
_atom_site_fract_z
Nd1 0.0000 0.1003 0.2500
Ge1 0.0000 0.4523 0.2500
Sb1 0.0000 0.2518 0.7500
# * uncorrected energy: -5.2760 eV per atom
# * uncorrected formation energy: -0.7735 eV per atom
# * E above lowest polymorph: 0 meV/atom

10.
# Pm2SiPt6 | the Alexandria database | PBE-GGA | relaxed
data_Pm2SiPt6
_chemical_formula_sum 'Pm4 Si2 Pt12'
_cell_length_a 9.8202
_cell_length_b 5.7014
_cell_length_c 6.1535
_cell_angle_alpha 90.00
_cell_angle_beta 104.58
_cell_angle_gamma 90.00
_space_group_name_H-M_alt 'C 1 2/m 1'
_space_group_IT_number 12
loop_
_space_group_symop_operation_xyz
'x,y,z'
'-x,-y,-z'
'-x,y,-z'
'x,-y,z'
'x+1/2,y+1/2,z'
'-x+1/2,-y+1/2,-z'
'-x+1/2,y+1/2,-z'
'x+1/2,-y+1/2,z'
loop_
_atom_site_label
_atom_site_fract_x
_atom_site_fract_y
_atom_site_fract_z
Pm1 0.1429 0.0000 0.3515
Si1 0.0000 0.5000 0.5000
Pt1 0.1208 0.5000 0.2017
Pt2 0.1339 0.2450 0.8059
# * uncorrected energy: -6.7135 eV per atom
# * uncorrected formation energy: -1.0280 eV per atom
# * E above lowest polymorph: 4 meV/atom

11.
# MnRuS4 | the Alexandria database | PBE-GGA | relaxed
data_MnRuS4
_chemical_formula_sum 'Mn4 Ru4 S16'
_cell_length_a 7.5814
_cell_length_b 13.0970
_cell_length_c 5.3579
_cell_angle_alpha 90.00
_cell_angle_beta 134.47
_cell_angle_gamma 90.00
_space_group_name_H-M_alt 'C 1 2/c 1'
_space_group_IT_number 15
loop_
_space_group_symop_operation_xyz
'x,y,z'
'-x,-y,-z'
'-x,y,-z+1/2'
'x,-y,z+1/2'
'x+1/2,y+1/2,z'
'-x+1/2,-y+1/2,-z'
'-x+1/2,y+1/2,-z+1/2'
'x+1/2,-y+1/2,z+1/2'
loop_
_atom_site_label
_atom_site_fract_x
_atom_site_fract_y
_atom_site_fract_z
Mn1 0.0000 0.1902 0.2500
Ru1 0.0000 0.4412 0.7500
S1 0.1829 0.3023 0.7085
S2 0.2068 0.0582 0.6391
# * uncorrected energy: -6.0987 eV per atom
# * uncorrected formation energy: -0.2728 eV per atom